# 1
A relaxed structure of Li3PN, computed with GGA-PBE.

ΔE_f (raw): 12.1 kcal/mol of atoms
Fermi-level density of states: 0.00 states/eV per atom

a b c (Å): 4.6903 4.6903 4.6903
angles (deg): 90.00 90.00 90.00
Last column: nearest neighbours and their distance in Å.
Sites, in units of the cell vectors:
P1 0.0000 0.0000 0.0000  6 Li 2.35
Li1 0.0000 0.5000 0.0000  2 P 2.35
Li2 0.0000 0.0000 0.5000  2 P 2.35
Li3 0.5000 0.0000 0.0000  2 P 2.35
N1 0.5000 0.5000 0.5000  12 Li 3.32

# 2
A relaxed structure of LiP2N4, computed with GGA-PBE.

ΔE_f (raw): 3.9 kcal/mol of atoms
Fermi-level density of states: 0.40 states/eV per atom

a b c (Å): 2.6629 4.7511 9.0475
angles (deg): 90.00 90.00 106.27
Last column: nearest neighbours and their distance in Å.
Sites, in units of the cell vectors:
Li1 0.6100 0.2199 0.7500  6 N 2.03-2.19
Li2 0.3900 0.7801 0.2500  6 N 2.03-2.19
P1 0.1395 0.2790 0.4233  4 N 1.73-1.89
P2 0.8605 0.7210 0.9233  4 N 1.73-1.89
P3 0.1395 0.2790 0.0767  4 N 1.73-1.89
P4 0.8605 0.7210 0.5767  4 N 1.73-1.89
N1 0.7628 0.5255 0.1070  3 P 1.76-1.89
N2 0.7628 0.5255 0.3930  3 P 1.76-1.89
N3 0.2372 0.4745 0.8930  3 P 1.76-1.89
N4 0.2372 0.4745 0.6070  3 P 1.76-1.89
N5 0.9415 0.8830 0.7500  2 P 1.73
N6 0.0585 0.1170 0.2500  2 P 1.73
N7 0.5000 0.0000 0.0000  4 P 1.97
N8 0.5000 0.0000 0.5000  4 P 1.97

# 3
A relaxed structure of LiPN2, computed with GGA-PBE.

ΔE_f (raw): 3.6 kcal/mol of atoms
Fermi-level density of states: 0.00 states/eV per atom

a b c (Å): 5.7063 5.7063 5.7063
angles (deg): 35.37 35.37 35.37
Last column: nearest neighbours and their distance in Å.
Sites, in units of the cell vectors:
P1 0.0000 0.0000 0.0000  2 N 1.52
Li1 0.5000 0.5000 0.5000  6 N 2.31
N1 0.9052 0.9052 0.9052  1 P 1.52
N2 0.0948 0.0948 0.0948  1 P 1.52